Compound: K2LiSiRh
Source: Alexandria via LeMat-Bulk
Functional: PBE-GGA
Structure: optimized geometry

The uncorrected formation energy comes out at 4.40 eV/f.u. For the uncorrected energy, the calculation gives -12.49 eV per cell.

Cell lengths 5.373, 5.373, 4.770 Å; angles 90.00, 90.00, 90.00 degrees
Sites, in units of the cell vectors:
K1 0.000 0.500 0.000
K2 0.500 0.000 0.000
Li1 0.000 0.000 0.000
Si1 0.000 0.000 0.500
Rh1 0.500 0.500 0.500

Compound: KLi2SiRh
Source: Alexandria via LeMat-Bulk
Functional: PBE-GGA
Structure: optimized geometry

The uncorrected formation energy comes out at -0.78 eV/f.u. For the uncorrected energy, the calculation gives -18.48 eV per cell.

Cell lengths 5.008, 5.008, 4.519 Å; angles 90.00, 90.00, 90.00 degrees
Sites, in units of the cell vectors:
K1 0.000 0.000 0.000
Li1 0.000 0.500 0.500
Li2 0.500 0.000 0.500
Si1 0.500 0.500 0.000
Rh1 0.500 0.500 0.500

Compound: KLiSn2Rh
Source: Alexandria via LeMat-Bulk
Functional: PBE-GGA
Structure: optimized geometry

The value obtained for the formation energy is -220 meV/atom. For the uncorrected energy, the calculation gives -19.47 eV per cell.

Cell lengths 5.120, 5.120, 5.213 Å; angles 90.00, 90.00, 90.00 degrees
Sites, in units of the cell vectors:
K1 0.000 0.000 0.000
Li1 0.500 0.500 0.000
Sn1 0.000 0.500 0.500
Sn2 0.500 0.000 0.500
Rh1 0.500 0.500 0.500

Compound: KSr2LiRh
Source: Alexandria via LeMat-Bulk
Functional: PBE-GGA
Structure: optimized geometry

The value obtained for the formation energy is 10 meV/atom. For the uncorrected energy, the calculation gives -13.68 eV per cell.

Cell lengths 5.852, 5.852, 5.479 Å; angles 90.00, 90.00, 90.00 degrees
Sites, in units of the cell vectors:
K1 0.000 0.000 0.000
Sr1 0.000 0.500 0.500
Sr2 0.500 0.000 0.500
Li1 0.500 0.500 0.000
Rh1 0.500 0.500 0.500